Record 1
First-principles (GGA-PBE) data for crystalline InSeNF2 at its relaxed geometry, as listed in Alexandria via LeMat-Bulk. Values from VASP.

Summary:
Crystal system: tetragonal
Relative energy among the computed polymorphs in meV/atom: 0.0
DOS(E_F) in states/eV/f.u.: 0.672
Space-group type: No. 123
ΔE_f (raw) in kJ per mole of atoms: -35

Structure (Quantum ESPRESSO input):
```
&SYSTEM
  ibrav = 0, nat = 5, ntyp = 4
/
ATOMIC_SPECIES
In 114.82 In.upf
Se 78.96 Se.upf
N 14.01 N.upf
F 19.00 F.upf
CELL_PARAMETERS angstrom
4.749 0.000 0.000
0.000 4.749 0.000
0.000 0.000 3.674
ATOMIC_POSITIONS crystal
In 0.000 0.000 0.000
Se 0.500 0.500 0.500
N 0.500 0.500 0.000
F 0.000 0.500 0.500
F 0.500 0.000 0.500
```

---

Record 2
First-principles (GGA-PBE) data for crystalline InSnNF2 at its relaxed geometry, as listed in Alexandria via LeMat-Bulk. Values from VASP.

Summary:
Crystal system: tetragonal
Relative energy among the computed polymorphs in meV/atom: 35.6
DOS(E_F) in states/eV/f.u.: 0.169
Space-group type: No. 123
ΔE_f (raw) in kJ per mole of atoms: -81

Structure (Quantum ESPRESSO input):
```
&SYSTEM
  ibrav = 0, nat = 5, ntyp = 4
/
ATOMIC_SPECIES
In 114.82 In.upf
Sn 118.71 Sn.upf
N 14.01 N.upf
F 19.00 F.upf
CELL_PARAMETERS angstrom
4.338 0.000 0.000
0.000 4.338 0.000
0.000 0.000 4.225
ATOMIC_POSITIONS crystal
In 0.000 0.000 0.000
Sn 0.500 0.500 0.500
N 0.000 0.000 0.500
F 0.000 0.500 0.000
F 0.500 0.000 0.000
```

---

Record 3
First-principles (GGA-PBE) data for crystalline InSnNF2 at its relaxed geometry, as listed in Alexandria via LeMat-Bulk. Values from VASP.

Summary:
Crystal system: tetragonal
Relative energy among the computed polymorphs in meV/atom: 0.0
DOS(E_F) in states/eV/f.u.: 0.879
Space-group type: No. 123
ΔE_f (raw) in kJ per mole of atoms: -84

Structure (Quantum ESPRESSO input):
```
&SYSTEM
  ibrav = 0, nat = 5, ntyp = 4
/
ATOMIC_SPECIES
In 114.82 In.upf
Sn 118.71 Sn.upf
N 14.01 N.upf
F 19.00 F.upf
CELL_PARAMETERS angstrom
4.546 0.000 0.000
0.000 4.546 0.000
0.000 0.000 3.920
ATOMIC_POSITIONS crystal
In 0.000 0.000 0.000
Sn 0.500 0.500 0.500
N 0.500 0.500 0.000
F 0.000 0.500 0.500
F 0.500 0.000 0.500
```

---

Record 4
First-principles (GGA-PBE) data for crystalline Sr6In2NF at its relaxed geometry, as listed in Alexandria via LeMat-Bulk. Values from VASP.

Summary:
Crystal system: cubic
DOS(E_F) in states/eV/f.u.: 11.666
Space-group type: No. 225
ΔE_f (raw) in kJ per mole of atoms: -93

Structure (Quantum ESPRESSO input):
```
&SYSTEM
  ibrav = 0, nat = 10, ntyp = 4
/
ATOMIC_SPECIES
Sr 87.62 Sr.upf
In 114.82 In.upf
N 14.01 N.upf
F 19.00 F.upf
CELL_PARAMETERS angstrom
0.000 5.325 5.325
5.325 0.000 5.325
5.325 5.325 0.000
ATOMIC_POSITIONS crystal
Sr 0.240 0.240 0.760
Sr 0.240 0.760 0.240
Sr 0.240 0.760 0.760
Sr 0.760 0.240 0.240
Sr 0.760 0.240 0.760
Sr 0.760 0.760 0.240
In 0.250 0.250 0.250
In 0.750 0.750 0.750
N 0.000 0.000 0.000
F 0.500 0.500 0.500
```

---

Record 5
First-principles (GGA-PBE) data for crystalline TaInNF2 at its relaxed geometry, as listed in Alexandria via LeMat-Bulk. Values from VASP.

Summary:
Crystal system: tetragonal
Relative energy among the computed polymorphs in meV/atom: 0.0
DOS(E_F) in states/eV/f.u.: 0.916
Space-group type: No. 123
ΔE_f (raw) in kJ per mole of atoms: -127

Structure (Quantum ESPRESSO input):
```
&SYSTEM
  ibrav = 0, nat = 5, ntyp = 4
/
ATOMIC_SPECIES
Ta 180.95 Ta.upf
In 114.82 In.upf
N 14.01 N.upf
F 19.00 F.upf
CELL_PARAMETERS angstrom
4.344 0.000 0.000
0.000 4.344 0.000
0.000 0.000 4.032
ATOMIC_POSITIONS crystal
Ta 0.000 0.000 0.000
In 0.500 0.500 0.500
N 0.000 0.000 0.500
F 0.000 0.500 0.000
F 0.500 0.000 0.000
```

---

Record 6
First-principles (GGA-PBE) data for crystalline TaInNF2 at its relaxed geometry, as listed in Alexandria via LeMat-Bulk. Values from VASP.

Summary:
Crystal system: tetragonal
Relative energy among the computed polymorphs in meV/atom: 1338.7
DOS(E_F) in states/eV/f.u.: 5.386
Space-group type: No. 123
ΔE_f (raw) in kJ per mole of atoms: 3

Structure (Quantum ESPRESSO input):
```
&SYSTEM
  ibrav = 0, nat = 5, ntyp = 4
/
ATOMIC_SPECIES
Ta 180.95 Ta.upf
In 114.82 In.upf
N 14.01 N.upf
F 19.00 F.upf
CELL_PARAMETERS angstrom
4.099 0.000 0.000
0.000 4.099 0.000
0.000 0.000 4.497
ATOMIC_POSITIONS crystal
Ta 0.000 0.000 0.000
In 0.500 0.500 0.500
N 0.500 0.500 0.000
F 0.000 0.500 0.500
F 0.500 0.000 0.500
```

---

Record 7
First-principles (GGA-PBE) data for crystalline Ta2InNF at its relaxed geometry, as listed in Alexandria via LeMat-Bulk. Values from VASP.

Summary:
Crystal system: tetragonal
DOS(E_F) in states/eV/f.u.: 4.197
Space-group type: No. 123
ΔE_f (raw) in kJ per mole of atoms: -22

Structure (Quantum ESPRESSO input):
```
&SYSTEM
  ibrav = 0, nat = 5, ntyp = 4
/
ATOMIC_SPECIES
Ta 180.95 Ta.upf
In 114.82 In.upf
N 14.01 N.upf
F 19.00 F.upf
CELL_PARAMETERS angstrom
4.084 0.000 0.000
0.000 4.084 0.000
0.000 0.000 5.145
ATOMIC_POSITIONS crystal
Ta 0.000 0.500 0.000
Ta 0.500 0.000 0.000
In 0.000 0.000 0.500
N 0.500 0.500 0.000
F 0.500 0.500 0.500
```

---

Record 8
First-principles (GGA-PBE) data for crystalline InTeNF2 at its relaxed geometry, as listed in Alexandria via LeMat-Bulk. Values from VASP.

Summary:
Crystal system: tetragonal
Relative energy among the computed polymorphs in meV/atom: 0.0
DOS(E_F) in states/eV/f.u.: 0.416
Space-group type: No. 123
ΔE_f (raw) in kJ per mole of atoms: -52

Structure (Quantum ESPRESSO input):
```
&SYSTEM
  ibrav = 0, nat = 5, ntyp = 4
/
ATOMIC_SPECIES
In 114.82 In.upf
Te 127.60 Te.upf
N 14.01 N.upf
F 19.00 F.upf
CELL_PARAMETERS angstrom
4.770 0.000 0.000
0.000 4.770 0.000
0.000 0.000 4.095
ATOMIC_POSITIONS crystal
In 0.000 0.000 0.000
Te 0.500 0.500 0.500
N 0.500 0.500 0.000
F 0.000 0.500 0.500
F 0.500 0.000 0.500
```

---

Record 9
First-principles (GGA-PBE) data for crystalline InTeN2F at its relaxed geometry, as listed in Alexandria via LeMat-Bulk. Values from VASP.

Summary:
Crystal system: tetragonal
Relative energy among the computed polymorphs in meV/atom: 0.0
DOS(E_F) in states/eV/f.u.: 1.950
Space-group type: No. 123
ΔE_f (raw) in kJ per mole of atoms: 51

Structure (Quantum ESPRESSO input):
```
&SYSTEM
  ibrav = 0, nat = 5, ntyp = 4
/
ATOMIC_SPECIES
In 114.82 In.upf
Te 127.60 Te.upf
N 14.01 N.upf
F 19.00 F.upf
CELL_PARAMETERS angstrom
4.121 0.000 0.000
0.000 4.121 0.000
0.000 0.000 4.591
ATOMIC_POSITIONS crystal
In 0.000 0.000 0.000
Te 0.500 0.500 0.500
N 0.000 0.500 0.500
N 0.500 0.000 0.500
F 0.500 0.500 0.000
```

---

Record 10
First-principles (GGA-PBE) data for crystalline InTeNF2 at its relaxed geometry, as listed in Alexandria via LeMat-Bulk. Values from VASP.

Summary:
Crystal system: tetragonal
Relative energy among the computed polymorphs in meV/atom: 53.9
DOS(E_F) in states/eV/f.u.: 1.815
Space-group type: No. 123
ΔE_f (raw) in kJ per mole of atoms: -47

Structure (Quantum ESPRESSO input):
```
&SYSTEM
  ibrav = 0, nat = 5, ntyp = 4
/
ATOMIC_SPECIES
In 114.82 In.upf
Te 127.60 Te.upf
N 14.01 N.upf
F 19.00 F.upf
CELL_PARAMETERS angstrom
4.212 0.000 0.000
0.000 4.212 0.000
0.000 0.000 4.515
ATOMIC_POSITIONS crystal
In 0.000 0.000 0.000
Te 0.500 0.500 0.500
N 0.000 0.000 0.500
F 0.000 0.500 0.000
F 0.500 0.000 0.000
```

---

Record 11
First-principles (GGA-PBE) data for crystalline InTeN2F at its relaxed geometry, as listed in Alexandria via LeMat-Bulk. Values from VASP.

Summary:
Crystal system: tetragonal
Relative energy among the computed polymorphs in meV/atom: 1053.1
DOS(E_F) in states/eV/f.u.: 1.941
Space-group type: No. 123
ΔE_f (raw) in kJ per mole of atoms: 152

Structure (Quantum ESPRESSO input):
```
&SYSTEM
  ibrav = 0, nat = 5, ntyp = 4
/
ATOMIC_SPECIES
In 114.82 In.upf
Te 127.60 Te.upf
N 14.01 N.upf
F 19.00 F.upf
CELL_PARAMETERS angstrom
4.794 0.000 0.000
0.000 4.794 0.000
0.000 0.000 4.254
ATOMIC_POSITIONS crystal
In 0.000 0.000 0.000
Te 0.500 0.500 0.000
N 0.000 0.500 0.500
N 0.500 0.000 0.500
F 0.500 0.500 0.500
```

---

Record 12
First-principles (GGA-PBE) data for crystalline InTeN2F at its relaxed geometry, as listed in Alexandria via LeMat-Bulk. Values from VASP.

Summary:
Crystal system: tetragonal
Relative energy among the computed polymorphs in meV/atom: 742.1
DOS(E_F) in states/eV/f.u.: 2.409
Space-group type: No. 123
ΔE_f (raw) in kJ per mole of atoms: 122

Structure (Quantum ESPRESSO input):
```
&SYSTEM
  ibrav = 0, nat = 5, ntyp = 4
/
ATOMIC_SPECIES
In 114.82 In.upf
Te 127.60 Te.upf
N 14.01 N.upf
F 19.00 F.upf
CELL_PARAMETERS angstrom
4.158 0.000 0.000
0.000 4.158 0.000
0.000 0.000 6.376
ATOMIC_POSITIONS crystal
In 0.000 0.000 0.000
Te 0.000 0.000 0.500
N 0.000 0.500 0.000
N 0.500 0.000 0.000
F 0.500 0.500 0.500
```

---

Record 13
First-principles (GGA-PBE) data for crystalline InTeN2F at its relaxed geometry, as listed in Alexandria via LeMat-Bulk. Values from VASP.

Summary:
Crystal system: tetragonal
Relative energy among the computed polymorphs in meV/atom: 127.0
DOS(E_F) in states/eV/f.u.: 2.044
Space-group type: No. 123
ΔE_f (raw) in kJ per mole of atoms: 63

Structure (Quantum ESPRESSO input):
```
&SYSTEM
  ibrav = 0, nat = 5, ntyp = 4
/
ATOMIC_SPECIES
In 114.82 In.upf
Te 127.60 Te.upf
N 14.01 N.upf
F 19.00 F.upf
CELL_PARAMETERS angstrom
4.318 0.000 0.000
0.000 4.318 0.000
0.000 0.000 4.093
ATOMIC_POSITIONS crystal
In 0.000 0.000 0.000
Te 0.500 0.500 0.500
N 0.000 0.500 0.000
N 0.500 0.000 0.000
F 0.000 0.000 0.500
```

---

Record 14
First-principles (GGA-PBE) data for crystalline TiInN2F at its relaxed geometry, as listed in Alexandria via LeMat-Bulk. Values from VASP.

Summary:
Crystal system: tetragonal
Relative energy among the computed polymorphs in meV/atom: 0.0
DOS(E_F) in states/eV/f.u.: 1.467
Space-group type: No. 123
ΔE_f (raw) in kJ per mole of atoms: -69

Structure (Quantum ESPRESSO input):
```
&SYSTEM
  ibrav = 0, nat = 5, ntyp = 4
/
ATOMIC_SPECIES
Ti 47.87 Ti.upf
In 114.82 In.upf
N 14.01 N.upf
F 19.00 F.upf
CELL_PARAMETERS angstrom
4.069 0.000 0.000
0.000 4.069 0.000
0.000 0.000 3.881
ATOMIC_POSITIONS crystal
Ti 0.000 0.000 0.000
In 0.500 0.500 0.500
N 0.000 0.500 0.000
N 0.500 0.000 0.000
F 0.000 0.000 0.500
```

---

Record 15
First-principles (GGA-PBE) data for crystalline TiInN2F at its relaxed geometry, as listed in Alexandria via LeMat-Bulk. Values from VASP.

Summary:
Crystal system: tetragonal
Relative energy among the computed polymorphs in meV/atom: 1141.0
DOS(E_F) in states/eV/f.u.: 3.953
Space-group type: No. 123
ΔE_f (raw) in kJ per mole of atoms: 41

Structure (Quantum ESPRESSO input):
```
&SYSTEM
  ibrav = 0, nat = 5, ntyp = 4
/
ATOMIC_SPECIES
Ti 47.87 Ti.upf
In 114.82 In.upf
N 14.01 N.upf
F 19.00 F.upf
CELL_PARAMETERS angstrom
4.178 0.000 0.000
0.000 4.178 0.000
0.000 0.000 4.035
ATOMIC_POSITIONS crystal
Ti 0.000 0.000 0.000
In 0.500 0.500 0.500
N 0.000 0.500 0.500
N 0.500 0.000 0.500
F 0.500 0.500 0.000
```

---

Record 16
First-principles (GGA-PBE) data for crystalline TlInNF2 at its relaxed geometry, as listed in Alexandria via LeMat-Bulk. Values from VASP.

Summary:
Crystal system: tetragonal
Relative energy among the computed polymorphs in meV/atom: 485.6
DOS(E_F) in states/eV/f.u.: 2.055
Space-group type: No. 123
ΔE_f (raw) in kJ per mole of atoms: -42

Structure (Quantum ESPRESSO input):
```
&SYSTEM
  ibrav = 0, nat = 5, ntyp = 4
/
ATOMIC_SPECIES
Tl 204.38 Tl.upf
In 114.82 In.upf
N 14.01 N.upf
F 19.00 F.upf
CELL_PARAMETERS angstrom
4.689 0.000 0.000
0.000 4.689 0.000
0.000 0.000 4.209
ATOMIC_POSITIONS crystal
Tl 0.000 0.000 0.000
In 0.500 0.500 0.500
N 0.000 0.000 0.500
F 0.000 0.500 0.000
F 0.500 0.000 0.000
```

---

Record 17
First-principles (GGA-PBE) data for crystalline TlInN2F at its relaxed geometry, as listed in Alexandria via LeMat-Bulk. Values from VASP.

Summary:
Crystal system: tetragonal
Relative energy among the computed polymorphs in meV/atom: 466.9
DOS(E_F) in states/eV/f.u.: 2.474
Space-group type: No. 123
ΔE_f (raw) in kJ per mole of atoms: 86

Structure (Quantum ESPRESSO input):
```
&SYSTEM
  ibrav = 0, nat = 5, ntyp = 4
/
ATOMIC_SPECIES
Tl 204.38 Tl.upf
In 114.82 In.upf
N 14.01 N.upf
F 19.00 F.upf
CELL_PARAMETERS angstrom
4.351 0.000 0.000
0.000 4.351 0.000
0.000 0.000 4.559
ATOMIC_POSITIONS crystal
Tl 0.000 0.000 0.000
In 0.500 0.500 0.500
N 0.000 0.500 0.000
N 0.500 0.000 0.000
F 0.000 0.000 0.500
```

---

Record 18
First-principles (GGA-PBE) data for crystalline TlInNF2 at its relaxed geometry, as listed in Alexandria via LeMat-Bulk. Values from VASP.

Summary:
Crystal system: tetragonal
Relative energy among the computed polymorphs in meV/atom: 938.6
DOS(E_F) in states/eV/f.u.: 2.286
Space-group type: No. 123
ΔE_f (raw) in kJ per mole of atoms: 2

Structure (Quantum ESPRESSO input):
```
&SYSTEM
  ibrav = 0, nat = 5, ntyp = 4
/
ATOMIC_SPECIES
Tl 204.38 Tl.upf
In 114.82 In.upf
N 14.01 N.upf
F 19.00 F.upf
CELL_PARAMETERS angstrom
4.457 0.000 0.000
0.000 4.457 0.000
0.000 0.000 6.521
ATOMIC_POSITIONS crystal
Tl 0.000 0.000 0.000
In 0.000 0.000 0.500
N 0.500 0.500 0.500
F 0.000 0.500 0.000
F 0.500 0.000 0.000
```

---

Record 19
First-principles (GGA-PBE) data for crystalline TlInN2F at its relaxed geometry, as listed in Alexandria via LeMat-Bulk. Values from VASP.

Summary:
Crystal system: tetragonal
Relative energy among the computed polymorphs in meV/atom: 0.0
DOS(E_F) in states/eV/f.u.: 1.448
Space-group type: No. 123
ΔE_f (raw) in kJ per mole of atoms: 41

Structure (Quantum ESPRESSO input):
```
&SYSTEM
  ibrav = 0, nat = 5, ntyp = 4
/
ATOMIC_SPECIES
Tl 204.38 Tl.upf
In 114.82 In.upf
N 14.01 N.upf
F 19.00 F.upf
CELL_PARAMETERS angstrom
4.375 0.000 0.000
0.000 4.375 0.000
0.000 0.000 4.468
ATOMIC_POSITIONS crystal
Tl 0.000 0.000 0.000
In 0.500 0.500 0.500
N 0.000 0.500 0.500
N 0.500 0.000 0.500
F 0.500 0.500 0.000
```

---

Record 20
First-principles (GGA-PBE) data for crystalline TlInNF2 at its relaxed geometry, as listed in Alexandria via LeMat-Bulk. Values from VASP.

Summary:
Crystal system: tetragonal
Relative energy among the computed polymorphs in meV/atom: 0.0
DOS(E_F) in states/eV/f.u.: 1.803
Space-group type: No. 123
ΔE_f (raw) in kJ per mole of atoms: -89

Structure (Quantum ESPRESSO input):
```
&SYSTEM
  ibrav = 0, nat = 5, ntyp = 4
/
ATOMIC_SPECIES
Tl 204.38 Tl.upf
In 114.82 In.upf
N 14.01 N.upf
F 19.00 F.upf
CELL_PARAMETERS angstrom
4.446 0.000 0.000
0.000 4.446 0.000
0.000 0.000 4.246
ATOMIC_POSITIONS crystal
Tl 0.000 0.000 0.000
In 0.500 0.500 0.500
N 0.500 0.500 0.000
F 0.000 0.500 0.500
F 0.500 0.000 0.500
```